1.
# MgSb4Os

Crystalline MgSb4Os at its relaxed geometry (PBE-GGA, Alexandria).

Properties
Raw formation energy: 1.0433 eV/atom

Unit cell a=6.0637 b=6.0637 c=6.0637 alpha=60.00 beta=60.00 gamma=60.00
Fractional positions:
Mg 0.7500 0.7500 0.7500
Sb 0.8762 0.3746 0.3746
Sb 0.3746 0.3746 0.8762
Sb 0.3746 0.8762 0.3746
Sb 0.3746 0.3746 0.3746
Os 0.0000 0.0000 0.0000



2.
# Mg2ScOs

Crystalline Mg2ScOs at its relaxed geometry (PBE-GGA, Alexandria).

Properties
Polymorph energy (0 for the lowest one): 0 meV/atom
DFT formation energy: -93 meV per atom

Unit cell a=3.2856 b=3.2856 c=7.2374 alpha=90.00 beta=90.00 gamma=90.00
Fractional positions:
Mg 0.0000 0.0000 0.0145
Mg 0.5000 0.5000 0.2911
Os 0.0000 0.0000 0.5008
Sc 0.5000 0.5000 0.6936



3.
# Mg3ScOs

Crystalline Mg3ScOs at its relaxed geometry (PBE-GGA, Alexandria).

Properties
Polymorph energy (0 for the lowest one): 1499 meV/atom
DFT formation energy: 2003 meV per atom

Unit cell a=5.2039 b=5.2039 c=5.2039 alpha=90.00 beta=90.00 gamma=90.00
Fractional positions:
Sc 0.0000 0.0000 0.0000
Mg 0.0000 0.5000 0.0000
Mg 0.0000 0.0000 0.5000
Mg 0.5000 0.0000 0.0000
Os 0.5000 0.5000 0.5000



4.
# MgScOs

Crystalline MgScOs at its relaxed geometry (PBE-GGA, Alexandria).

Properties
DFT formation energy: 43 meV per atom

Unit cell a=3.0136 b=4.4279 c=9.4917 alpha=90.00 beta=90.00 gamma=90.00
Fractional positions:
Sc 0.0000 0.5000 0.2500
Sc 0.0000 0.5000 0.7500
Mg 0.0000 0.0000 0.0000
Mg 0.0000 0.0000 0.5000
Os 0.5000 0.0000 0.2500
Os 0.5000 0.0000 0.7500



5.
# Mg2ScOs

Crystalline Mg2ScOs at its relaxed geometry (PBE-GGA, Alexandria).

Properties
Polymorph energy (0 for the lowest one): 179 meV/atom
DFT formation energy: 86 meV per atom

Unit cell a=9.7386 b=9.7386 c=9.7386 alpha=18.28 beta=18.28 gamma=18.28
Fractional positions:
Mg 0.9995 0.9995 0.9995
Mg 0.7613 0.7613 0.7613
Os 0.5024 0.5024 0.5024
Sc 0.2368 0.2368 0.2368



6.
# Mg2ScOs

Crystalline Mg2ScOs at its relaxed geometry (PBE-GGA, Alexandria).

Properties
Polymorph energy (0 for the lowest one): 35 meV/atom
DFT formation energy: -59 meV per atom

Unit cell a=5.2599 b=5.2599 c=5.2599 alpha=135.00 beta=135.00 gamma=65.53
Fractional positions:
Mg 0.0000 0.0000 0.0000
Mg 0.5000 0.5000 0.0000
Os 0.2500 0.7500 0.5000
Sc 0.7500 0.2500 0.5000



7.
# MgScOs3

Crystalline MgScOs3 at its relaxed geometry (PBE-GGA, Alexandria).

Properties
Polymorph energy (0 for the lowest one): 0 meV/atom
DFT formation energy: 1650 meV per atom

Unit cell a=4.4959 b=4.4959 c=4.4959 alpha=90.00 beta=90.00 gamma=90.00
Fractional positions:
Sc 0.5000 0.5000 0.5000
Mg 0.0000 0.0000 0.0000
Os 0.0000 0.5000 0.0000
Os 0.0000 0.0000 0.5000
Os 0.5000 0.0000 0.0000



8.
# Mg3ScOs

Crystalline Mg3ScOs at its relaxed geometry (PBE-GGA, Alexandria).

Properties
Polymorph energy (0 for the lowest one): 0 meV/atom
DFT formation energy: 504 meV per atom

Unit cell a=4.9376 b=4.9376 c=4.9376 alpha=90.00 beta=90.00 gamma=90.00
Fractional positions:
Sc 0.5000 0.5000 0.5000
Mg 0.0000 0.5000 0.0000
Mg 0.0000 0.0000 0.5000
Mg 0.5000 0.0000 0.0000
Os 0.0000 0.0000 0.0000



9.
# MgSc8Os2

Crystalline MgSc8Os2 at its relaxed geometry (PBE-GGA, Alexandria).

Properties
DFT formation energy: -194 meV per atom

Unit cell a=4.9161 b=6.5303 c=8.4212 alpha=112.80 beta=106.96 gamma=90.03
Fractional positions:
Mg 0.1364 0.9706 0.9089
Sc 0.6370 0.2736 0.9090
Sc 0.9666 0.0189 0.5698
Sc 0.3058 0.3579 0.2483
Sc 0.7510 0.9389 0.1385
Sc 0.3429 0.8552 0.3228
Sc 0.9294 0.4417 0.4955
Sc 0.1376 0.5352 0.9092
Sc 0.5218 0.7094 0.6799
Os 0.8062 0.6198 0.2501
Os 0.4652 0.2788 0.5680



10.
# MgSc3Os

Crystalline MgSc3Os at its relaxed geometry (PBE-GGA, Alexandria).

Properties
Polymorph energy (0 for the lowest one): 1641 meV/atom
DFT formation energy: 1407 meV per atom

Unit cell a=4.9280 b=4.9280 c=4.9280 alpha=90.00 beta=90.00 gamma=90.00
Fractional positions:
Sc 0.0000 0.5000 0.0000
Sc 0.0000 0.0000 0.5000
Sc 0.5000 0.0000 0.0000
Mg 0.0000 0.0000 0.0000
Os 0.5000 0.5000 0.5000



11.
# MgSc5Os

Crystalline MgSc5Os at its relaxed geometry (PBE-GGA, Alexandria).

Properties
DFT formation energy: 110 meV per atom

Unit cell a=6.4141 b=6.4141 c=10.1868 alpha=66.45 beta=66.45 gamma=87.35
Fractional positions:
Mg 0.8269 0.1731 0.2500
Mg 0.1731 0.8269 0.7500
Sc 0.6838 0.6881 0.1583
Sc 0.2857 0.6688 0.5067
Sc 0.6881 0.6838 0.6583
Sc 0.1365 0.8635 0.2500
Sc 0.3312 0.7143 0.9933
Sc 0.6688 0.2857 0.0067
Sc 0.8635 0.1365 0.7500
Sc 0.3119 0.3162 0.3417
Sc 0.7143 0.3312 0.4933
Sc 0.3162 0.3119 0.8417
Os 0.0000 0.0000 0.0000
Os 0.0000 0.0000 0.5000



12.
# MgScOs3

Crystalline MgScOs3 at its relaxed geometry (PBE-GGA, Alexandria).

Properties
Polymorph energy (0 for the lowest one): 301 meV/atom
DFT formation energy: 1951 meV per atom

Unit cell a=4.6681 b=4.6681 c=4.6681 alpha=90.00 beta=90.00 gamma=90.00
Fractional positions:
Sc 0.0000 0.0000 0.0000
Mg 0.5000 0.5000 0.5000
Os 0.0000 0.5000 0.0000
Os 0.0000 0.0000 0.5000
Os 0.5000 0.0000 0.0000



Please write out number 1 again, unchanged.
# MgSb4Os

Crystalline MgSb4Os at its relaxed geometry (PBE-GGA, Alexandria).

Properties
Raw formation energy: 1.0433 eV/atom

Unit cell a=6.0637 b=6.0637 c=6.0637 alpha=60.00 beta=60.00 gamma=60.00
Fractional positions:
Mg 0.7500 0.7500 0.7500
Sb 0.8762 0.3746 0.3746
Sb 0.3746 0.3746 0.8762
Sb 0.3746 0.8762 0.3746
Sb 0.3746 0.3746 0.3746
Os 0.0000 0.0000 0.0000



> Which formula does entry 8 have?

Mg3ScOs



What did the seventh record say?
# MgScOs3

Crystalline MgScOs3 at its relaxed geometry (PBE-GGA, Alexandria).

Properties
Polymorph energy (0 for the lowest one): 0 meV/atom
DFT formation energy: 1650 meV per atom

Unit cell a=4.4959 b=4.4959 c=4.4959 alpha=90.00 beta=90.00 gamma=90.00
Fractional positions:
Sc 0.5000 0.5000 0.5000
Mg 0.0000 0.0000 0.0000
Os 0.0000 0.5000 0.0000
Os 0.0000 0.0000 0.5000
Os 0.5000 0.0000 0.0000